A geometry-optimized Ac2Cu2PbO6 structure. Source: Alexandria via LeMat-Bulk, functional PBE-GGA.

Formation energy without anion corrections (eV/atom): -1.66
VASP energy (Ry/atom): -0.4549
V (Å³/cell): 173.1
Spin magnetization (μB per atom): 0.00

Unit cell a=6.4721 b=6.4721 c=6.4721 alpha=55.81 beta=55.81 gamma=55.81
With the nearest neighbours (Å) after each atom.
Element x y z (fractional)
Ac 0.2147 0.2147 0.2147  3 O 2.52
Ac 0.7853 0.7853 0.7853  3 O 2.52
Cu 0.4198 0.4198 0.4198  3 O 1.91
Cu 0.5802 0.5802 0.5802  3 O 1.91
Pb 0.0000 0.0000 0.0000  6 O 2.22
O 0.2077 0.7536 0.7536  1 Cu 1.91
O 0.2464 0.2464 0.7923  1 Cu 1.91
O 0.2464 0.7923 0.2464  1 Cu 1.91
O 0.7536 0.2077 0.7536  1 Cu 1.91
O 0.7536 0.7536 0.2077  1 Cu 1.91
O 0.7923 0.2464 0.2464  1 Cu 1.91

A geometry-optimized AcCuPbO5 structure. Source: Alexandria via LeMat-Bulk, functional PBE-GGA.

Formation energy without anion corrections (eV/atom): -1.43
VASP energy (Ry/atom): -0.4426
V (Å³/cell): 244.0
Spin magnetization (μB per atom): 0.25

Unit cell a=6.1176 b=6.1176 c=7.4440 alpha=101.25 beta=101.25 gamma=111.09
With the nearest neighbours (Å) after each atom.
Element x y z (fractional)
Ac 0.1555 0.8445 0.7500  5 O 2.49-2.59
Ac 0.8445 0.1555 0.2500  5 O 2.49-2.59
Cu 0.1797 0.8203 0.2500  4 O 1.89-1.92
Cu 0.8203 0.1797 0.7500  4 O 1.89-1.92
Pb 0.5000 0.5000 0.0000  6 O 2.11-2.29
Pb 0.5000 0.5000 0.5000  6 O 2.11-2.29
O 0.1072 0.2170 0.9347  1 Cu 1.92
O 0.1877 0.5936 0.3890  1 Cu 1.89
O 0.2170 0.1072 0.4347  1 Cu 1.92
O 0.4022 0.5978 0.7500  2 Pb 2.11
O 0.4064 0.8123 0.1110  1 Cu 1.89
O 0.5936 0.1877 0.8890  1 Cu 1.89
O 0.5978 0.4022 0.2500  2 Pb 2.11
O 0.7830 0.8928 0.5653  1 Cu 1.92
O 0.8123 0.4064 0.6110  1 Cu 1.89
O 0.8928 0.7830 0.0653  1 Cu 1.92

A geometry-optimized Ac4Cu3PbO12 structure. Source: Alexandria via LeMat-Bulk, functional PBE-GGA.

Formation energy without anion corrections (eV/atom): -1.95
VASP energy (Ry/atom): -0.4813
V (Å³/cell): 264.8
Spin magnetization (μB per atom): 0.00

Unit cell a=7.0068 b=7.0068 c=7.0068 alpha=109.47 beta=109.47 gamma=109.47
With the nearest neighbours (Å) after each atom.
Element x y z (fractional)
Ac 0.0000 0.0000 0.5000  12 O 2.86
Ac 0.0000 0.5000 0.0000  12 O 2.86
Ac 0.5000 0.0000 0.0000  12 O 2.86
Ac 0.5000 0.5000 0.5000  12 O 2.86
Cu 0.0000 0.5000 0.5000  6 O 1.92-2.02
Cu 0.5000 0.0000 0.5000  6 O 1.92-2.02
Cu 0.5000 0.5000 0.0000  6 O 1.92-2.02
Pb 0.0000 0.0000 0.0000  6 O 2.12
O 0.0000 0.2623 0.2623  1 Cu 1.92, 1 Pb 2.12
O 0.0000 0.7377 0.7377  1 Cu 1.92, 1 Pb 2.12
O 0.2500 0.5000 0.7500  2 Cu 2.02
O 0.2500 0.7500 0.5000  2 Cu 2.02
O 0.2623 0.0000 0.2623  1 Cu 1.92, 1 Pb 2.12
O 0.2623 0.2623 0.0000  1 Cu 1.92, 1 Pb 2.12
O 0.5000 0.2500 0.7500  2 Cu 2.02
O 0.5000 0.7500 0.2500  2 Cu 2.02
O 0.7377 0.0000 0.7377  1 Cu 1.92, 1 Pb 2.12
O 0.7377 0.7377 0.0000  1 Cu 1.92, 1 Pb 2.12
O 0.7500 0.2500 0.5000  2 Cu 2.02
O 0.7500 0.5000 0.2500  2 Cu 2.02

A geometry-optimized AcCuPb2O4 structure. Source: Alexandria via LeMat-Bulk, functional PBE-GGA.

Formation energy without anion corrections (eV/atom): -1.48
VASP energy (Ry/atom): -0.4347
V (Å³/cell): 268.6
Spin magnetization (μB per atom): 0.00

Unit cell a=6.2814 b=6.2814 c=12.4432 alpha=90.00 beta=90.00 gamma=146.84
With the nearest neighbours (Å) after each atom.
Element x y z (fractional)
Ac 0.1004 0.8996 0.7500  6 O 2.56-2.62
Ac 0.8996 0.1004 0.2500  6 O 2.56-2.62
Cu 0.1700 0.8300 0.2500  4 O 2.12-2.24
Cu 0.8300 0.1700 0.7500  4 O 2.12-2.24
Pb 0.3682 0.6318 0.5511  4 O 2.48-2.63
Pb 0.3682 0.6318 0.9489  4 O 2.48-2.63
Pb 0.6318 0.3682 0.0511  4 O 2.48-2.63
Pb 0.6318 0.3682 0.4489  4 O 2.48-2.63
O 0.0000 0.0000 0.0000  4 Pb 2.48
O 0.0000 0.0000 0.5000  4 Pb 2.48
O 0.3023 0.6977 0.1374  1 Cu 2.12
O 0.3023 0.6977 0.3626  1 Cu 2.12
O 0.4422 0.5578 0.7500  2 Cu 2.24
O 0.5578 0.4422 0.2500  2 Cu 2.24
O 0.6977 0.3023 0.6374  1 Cu 2.12
O 0.6977 0.3023 0.8626  1 Cu 2.12

A geometry-optimized Ac3Cu2PbO9 structure. Source: Alexandria via LeMat-Bulk, functional PBE-GGA.

Formation energy without anion corrections (eV/atom): -1.97
VASP energy (Ry/atom): -0.4825
V (Å³/cell): 206.0
Spin magnetization (μB per atom): 0.00

Unit cell a=5.7241 b=5.7241 c=7.2591 alpha=90.00 beta=90.00 gamma=120.00
With the nearest neighbours (Å) after each atom.
Element x y z (fractional)
Ac 0.0000 0.0000 0.0000  12 O 2.80-2.86
Ac 0.3333 0.6667 0.7116  9 O 2.67-2.87
Ac 0.6667 0.3333 0.2884  9 O 2.67-2.87
Cu 0.3333 0.6667 0.1607  6 O 1.97-2.02
Cu 0.6667 0.3333 0.8393  6 O 1.97-2.02
Pb 0.0000 0.0000 0.5000  6 O 2.15
O 0.0000 0.5000 0.0000  2 Cu 2.02
O 0.1673 0.3345 0.3105  1 Cu 1.97, 1 Pb 2.15
O 0.1673 0.8327 0.3105  1 Cu 1.97, 1 Pb 2.15
O 0.3345 0.1673 0.6895  1 Cu 1.97, 1 Pb 2.15
O 0.5000 0.0000 0.0000  2 Cu 2.02
O 0.5000 0.5000 0.0000  2 Cu 2.02
O 0.6655 0.8327 0.3105  1 Cu 1.97, 1 Pb 2.15
O 0.8327 0.1673 0.6895  1 Cu 1.97, 1 Pb 2.15
O 0.8327 0.6655 0.6895  1 Cu 1.97, 1 Pb 2.15

A geometry-optimized Ac2CuPdO5 structure. Source: Alexandria via LeMat-Bulk, functional PBE-GGA.

Formation energy without anion corrections (eV/atom): -1.72
VASP energy (Ry/atom): -0.4715
V (Å³/cell): 303.0
Spin magnetization (μB per atom): 0.11

Unit cell a=7.2656 b=7.2656 c=5.7391 alpha=90.00 beta=90.00 gamma=90.00
With the nearest neighbours (Å) after each atom.
Element x y z (fractional)
Ac 0.1783 0.3217 0.0000  8 O 2.42-2.71
Ac 0.3217 0.8217 0.0000  8 O 2.42-2.71
Ac 0.6783 0.1783 0.0000  8 O 2.42-2.71
Ac 0.8217 0.6783 0.0000  8 O 2.42-2.71
Cu 0.0000 0.0000 0.5000  10 O 2.87-3.17
Cu 0.5000 0.5000 0.5000  10 O 2.87-3.17
Pd 0.0000 0.5000 0.5000  4 O 1.97
Pd 0.5000 0.0000 0.5000  4 O 1.97
O 0.0000 0.0000 0.0000  4 Ac 2.67, 2 Cu 2.87
O 0.1332 0.6332 0.2529  1 Pd 1.97
O 0.1332 0.6332 0.7471  1 Pd 1.97
O 0.3668 0.1332 0.2529  1 Pd 1.97
O 0.3668 0.1332 0.7471  1 Pd 1.97
O 0.5000 0.5000 0.0000  4 Ac 2.67, 2 Cu 2.87
O 0.6332 0.8668 0.2529  1 Pd 1.97
O 0.6332 0.8668 0.7471  1 Pd 1.97
O 0.8668 0.3668 0.2529  1 Pd 1.97
O 0.8668 0.3668 0.7471  1 Pd 1.97

A geometry-optimized Ac3Cu2PdO9 structure. Source: Alexandria via LeMat-Bulk, functional PBE-GGA.

Formation energy without anion corrections (eV/atom): -1.96
VASP energy (Ry/atom): -0.4888
V (Å³/cell): 190.5
Spin magnetization (μB per atom): 0.00

Unit cell a=5.6356 b=5.6356 c=6.9273 alpha=90.00 beta=90.00 gamma=120.00
With the nearest neighbours (Å) after each atom.
Element x y z (fractional)
Ac 0.0000 0.0000 0.0000  12 O 2.81-2.82
Ac 0.3333 0.6667 0.6680  12 O 2.82-2.84
Ac 0.6667 0.3333 0.3320  12 O 2.82-2.84
Cu 0.3333 0.6667 0.1590  6 O 1.96-1.99
Cu 0.6667 0.3333 0.8410  6 O 1.96-1.99
Pd 0.0000 0.0000 0.5000  6 O 2.03
O 0.0000 0.5000 0.0000  2 Cu 1.96
O 0.1686 0.3373 0.3296  1 Cu 1.99, 1 Pd 2.03
O 0.1686 0.8314 0.3296  1 Cu 1.99, 1 Pd 2.03
O 0.3373 0.1686 0.6704  1 Cu 1.99, 1 Pd 2.03
O 0.5000 0.0000 0.0000  2 Cu 1.96
O 0.5000 0.5000 0.0000  2 Cu 1.96
O 0.6627 0.8314 0.3296  1 Cu 1.99, 1 Pd 2.03
O 0.8314 0.1686 0.6704  1 Cu 1.99, 1 Pd 2.03
O 0.8314 0.6627 0.6704  1 Cu 1.99, 1 Pd 2.03

A geometry-optimized Ac3CuPd2O9 structure. Source: Alexandria via LeMat-Bulk, functional PBE-GGA.

Formation energy without anion corrections (eV/atom): -1.91
VASP energy (Ry/atom): -0.4904
V (Å³/cell): 197.6
Spin magnetization (μB per atom): 0.00

Unit cell a=5.7084 b=5.7084 c=7.0031 alpha=90.00 beta=90.00 gamma=120.00
With the nearest neighbours (Å) after each atom.
Element x y z (fractional)
Ac 0.0000 0.0000 0.0000  12 O 2.85-2.87
Ac 0.3333 0.6667 0.6635  12 O 2.83-2.88
Ac 0.6667 0.3333 0.3365  12 O 2.83-2.88
Cu 0.0000 0.0000 0.5000  6 O 2.00
Pd 0.3333 0.6667 0.1725  6 O 2.02-2.04
Pd 0.6667 0.3333 0.8275  6 O 2.02-2.04
O 0.0000 0.5000 0.0000  2 Pd 2.04
O 0.1654 0.3308 0.3365  1 Cu 2.00, 1 Pd 2.02
O 0.1654 0.8346 0.3365  1 Cu 2.00, 1 Pd 2.02
O 0.3308 0.1654 0.6635  1 Cu 2.00, 1 Pd 2.02
O 0.5000 0.0000 0.0000  2 Pd 2.04
O 0.5000 0.5000 0.0000  2 Pd 2.04
O 0.6692 0.8346 0.3365  1 Cu 2.00, 1 Pd 2.02
O 0.8346 0.1654 0.6635  1 Cu 2.00, 1 Pd 2.02
O 0.8346 0.6692 0.6635  1 Cu 2.00, 1 Pd 2.02

Number 3 is which compound? Ac4Cu3PbO12

Which value of formation energy without anion corrections does entry 8 give? -1.91 eV/atom

VASP energy of number 1 (Ac2Cu2PbO6)? -0.4549 Ry/atom

Copy entry 8 word for word.
A geometry-optimized Ac3CuPd2O9 structure. Source: Alexandria via LeMat-Bulk, functional PBE-GGA.

Formation energy without anion corrections (eV/atom): -1.91
VASP energy (Ry/atom): -0.4904
V (Å³/cell): 197.6
Spin magnetization (μB per atom): 0.00

Unit cell a=5.7084 b=5.7084 c=7.0031 alpha=90.00 beta=90.00 gamma=120.00
With the nearest neighbours (Å) after each atom.
Element x y z (fractional)
Ac 0.0000 0.0000 0.0000  12 O 2.85-2.87
Ac 0.3333 0.6667 0.6635  12 O 2.83-2.88
Ac 0.6667 0.3333 0.3365  12 O 2.83-2.88
Cu 0.0000 0.0000 0.5000  6 O 2.00
Pd 0.3333 0.6667 0.1725  6 O 2.02-2.04
Pd 0.6667 0.3333 0.8275  6 O 2.02-2.04
O 0.0000 0.5000 0.0000  2 Pd 2.04
O 0.1654 0.3308 0.3365  1 Cu 2.00, 1 Pd 2.02
O 0.1654 0.8346 0.3365  1 Cu 2.00, 1 Pd 2.02
O 0.3308 0.1654 0.6635  1 Cu 2.00, 1 Pd 2.02
O 0.5000 0.0000 0.0000  2 Pd 2.04
O 0.5000 0.5000 0.0000  2 Pd 2.04
O 0.6692 0.8346 0.3365  1 Cu 2.00, 1 Pd 2.02
O 0.8346 0.1654 0.6635  1 Cu 2.00, 1 Pd 2.02
O 0.8346 0.6692 0.6635  1 Cu 2.00, 1 Pd 2.02